{
  "formula": "AlSiPb",
  "functional": "SCAN",
  "state": "PBEsol geometry",
  "relative_energy_ev_per_atom": 0.000,
  "final_energy_ev_per_atom": -30.7754,
  "sg": "Imm2 (44)",
  "lattice": [[3.150, 0.000, 0.000], [0.000, 3.628, 0.000], [-1.575, -1.814, 5.515]],
  "species": ["Pb", "Si", "Al"],
  "frac_coords": [[0.334, 0.334, 0.667], [0.631, 0.631, 0.262], [0.035, 0.035, 0.071]]
}

=====

{
  "formula": "KCd2Ag",
  "functional": "SCAN",
  "state": "PBEsol geometry",
  "delta_e_f_mev_per_atom": -8,
  "relative_energy_ev_per_atom": 0.000,
  "final_energy_ev_per_atom": -25.1392,
  "sg": "Pmmm (47)",
  "lattice": [[-1.543, -2.510, 0.974], [-0.099, -1.406, -3.781], [6.835, -3.732, 1.208]],
  "species": ["K", "Ag", "Cd", "Cd"],
  "frac_coords": [[0.500, 0.500, 0.000], [0.500, 0.500, 0.500], [0.000, 0.000, 0.686], [0.000, 0.000, 0.314]]
}

=====

{
  "formula": "Mo2AuI2",
  "functional": "SCAN",
  "state": "PBEsol geometry",
  "final_energy_ev_per_atom": -41.6659,
  "sg": "I4/mmm (139)",
  "lattice": [[3.658, 0.000, 0.000], [0.000, 3.658, 0.000], [-1.829, -1.829, 8.265]],
  "species": ["I", "I", "Mo", "Mo", "Au"],
  "frac_coords": [[0.384, 0.384, 0.768], [0.616, 0.616, 0.232], [0.250, 0.750, 0.500], [0.750, 0.250, 0.500], [0.000, 0.000, 0.000]]
}

=====

{
  "formula": "Be4InOs",
  "functional": "SCAN",
  "state": "PBEsol geometry",
  "delta_e_f_mev_per_atom": -103,
  "final_energy_ev_per_atom": -20.5502,
  "sg": "F-43m (216)",
  "lattice": [[-0.932, 0.801, 4.305], [1.553, -2.748, 3.176], [3.234, 1.382, 2.771]],
  "species": ["Be", "Be", "Be", "Be", "Os", "In"],
  "frac_coords": [[0.628, 0.628, 0.117], [0.117, 0.628, 0.628], [0.628, 0.117, 0.628], [0.628, 0.628, 0.628], [0.000, 0.000, 0.000], [0.250, 0.250, 0.250]]
}

=====

{
  "formula": "TlTcCl2",
  "functional": "SCAN",
  "state": "PBEsol geometry",
  "relative_energy_ev_per_atom": 0.203,
  "final_energy_ev_per_atom": -30.8868,
  "sg": "P4/mmm (123)",
  "lattice": [[-0.219, -3.228, -0.123], [2.022, -0.041, -2.529], [6.285, -0.618, 5.034]],
  "species": ["Tl", "Tc", "Cl", "Cl"],
  "frac_coords": [[0.500, 0.500, 0.500], [0.500, 0.500, 0.000], [0.000, 0.000, 0.802], [0.000, 0.000, 0.198]]
}

=====

{
  "formula": "BaPd2N",
  "functional": "SCAN",
  "state": "PBEsol geometry",
  "final_energy_ev_per_atom": -28.8672,
  "sg": "I4_1/amd (141)",
  "lattice": [[5.175, 0.000, 0.000], [0.000, 5.175, 0.000], [-2.588, -2.588, 6.239]],
  "species": ["Ba", "Ba", "Pd", "Pd", "Pd", "Pd", "N", "N"],
  "frac_coords": [[0.000, 0.000, 0.000], [0.250, 0.750, 0.500], [0.625, 0.375, 0.750], [0.125, 0.375, 0.750], [0.625, 0.875, 0.250], [0.625, 0.375, 0.250], [0.500, 0.500, 0.000], [0.750, 0.250, 0.500]]
}